1.
TaCrSe2 | GGA-PBEsol | optimized geometry

a = 4.3032 Å, b = 4.3032 Å, c = 5.4777 Å
α = 97.37°, β = 97.37°, γ = 44.93°
Fractional coordinates of all 4 atoms:
Ta1 0.0000 0.0000 0.0000
Cr1 0.5000 0.5000 0.5000
Se1 0.2796 0.2796 0.7662
Se2 0.7204 0.7204 0.2338

Energy relative to the lowest polymorph listed for this composition ... 0.107 eV/atom
ΔE_f (raw) ... -0.05 eV per atom
Total magnetization ... 0.807 μB/atom
Fermi-level density of states ... 0.5916 states/eV/atom

---

2.
Ta2CrSe | GGA-PBEsol | optimized geometry

a = 4.4552 Å, b = 4.4552 Å, c = 4.4552 Å
α = 60.00°, β = 60.00°, γ = 60.00°
Fractional coordinates of all 4 atoms:
Ta1 0.0000 0.0000 0.0000
Ta2 0.2500 0.2500 0.2500
Cr1 0.7500 0.7500 0.7500
Se1 0.5000 0.5000 0.5000

ΔE_f (raw) ... 0.45 eV per atom
Total magnetization ... 0.262 μB/atom
Fermi-level density of states ... 1.1488 states/eV/atom

---

3.
Ta3CrSe | GGA-PBEsol | optimized geometry

a = 4.5924 Å, b = 4.5924 Å, c = 4.5924 Å
α = 90.00°, β = 90.00°, γ = 90.00°
Fractional coordinates of all 5 atoms:
Ta1 0.0000 0.0000 0.5000
Ta2 0.0000 0.5000 0.0000
Ta3 0.5000 0.0000 0.0000
Cr1 0.0000 0.0000 0.0000
Se1 0.5000 0.5000 0.5000

ΔE_f (raw) ... 1.01 eV per atom
Total magnetization ... 0.000 μB/atom
Fermi-level density of states ... 0.5652 states/eV/atom

---

4.
Ta2CrSe | GGA-PBEsol | optimized geometry

a = 3.2024 Å, b = 3.2024 Å, c = 6.1513 Å
α = 90.00°, β = 90.00°, γ = 90.00°
Fractional coordinates of all 4 atoms:
Ta1 0.0000 0.0000 0.0000
Ta2 0.5000 0.5000 0.3059
Cr1 0.0000 0.0000 0.5077
Se1 0.5000 0.5000 0.7667

ΔE_f (raw) ... 0.03 eV per atom
Total magnetization ... 0.259 μB/atom
Fermi-level density of states ... 0.9740 states/eV/atom

---

5.
CrTc3Se | GGA-PBEsol | optimized geometry

a = 4.3813 Å, b = 4.3813 Å, c = 4.3813 Å
α = 90.00°, β = 90.00°, γ = 90.00°
Fractional coordinates of all 5 atoms:
Cr1 0.0000 0.0000 0.0000
Tc1 0.0000 0.0000 0.5000
Tc2 0.0000 0.5000 0.0000
Tc3 0.5000 0.0000 0.0000
Se1 0.5000 0.5000 0.5000

ΔE_f (raw) ... 1.42 eV per atom
Total magnetization ... 0.057 μB/atom
Fermi-level density of states ... 1.2300 states/eV/atom

---

6.
CrTcSe2 | GGA-PBEsol | optimized geometry

a = 4.1026 Å, b = 3.0814 Å, c = 5.1169 Å
α = 90.00°, β = 110.91°, γ = 90.00°
Fractional coordinates of all 4 atoms:
Cr1 0.0000 0.0000 0.0000
Tc1 0.5000 0.5000 0.5000
Se1 0.0000 0.0000 0.5000
Se2 0.5000 0.5000 0.0000

ΔE_f (raw) ... 0.10 eV per atom
Total magnetization ... 0.450 μB/atom
Fermi-level density of states ... 0.7780 states/eV/atom

---

What is the formula in the fourth record? Ta2CrSe

---

Which of these has the lowest Fermi-level density of states? Ta3CrSe

---

Which of these has the lowest Fermi-level density of states? Ta3CrSe